## YP2 (PBE)

Data for an optimized crystal structure of YP2.

Geometry as POSCAR:
```
YP2
1.0
2.2452 -4.8732 0.0000
2.2452 4.8732 0.0000
0.0000 0.0000 5.6602
Y P
2 4
Direct
0.1466 0.8534 0.7500 Y
0.8534 0.1466 0.2500 Y
0.1418 0.8582 0.2500 P
0.4360 0.5640 0.7500 P
0.5640 0.4360 0.2500 P
0.8582 0.1418 0.7500 P
```

Output
For the theoretical density, the calculation gives 4.04 g cm⁻³. The electronic total energy comes out at -6.493 eV/atom.

=====

## Y2P (PBE)

Data for an optimized crystal structure of Y2P.

Geometry as POSCAR:
```
Y2P
1.0
3.9151 0.0000 0.0000
-1.9575 3.3906 0.0000
0.0000 0.0000 6.3663
Y P
2 1
Direct
0.3333 0.6667 0.2475 Y
0.6667 0.3333 0.7525 Y
0.0000 0.0000 0.0000 P
```

Output
For the theoretical density, the calculation gives 4.10 g cm⁻³. The electronic total energy comes out at -7.116 eV/atom.

=====

## Y4P5 (PBE)

Data for an optimized crystal structure of Y4P5.

Geometry as POSCAR:
```
Y4P5
1.0
-4.9682 4.9682 2.0352
4.9682 -4.9682 2.0352
4.9682 4.9682 -2.0352
Y P
4 5
Direct
0.0000 0.2669 0.2669 Y
0.0000 0.7331 0.7331 Y
0.2669 0.0000 0.2669 Y
0.7331 0.0000 0.7331 Y
0.0000 0.0000 0.0000 P
0.2941 0.2941 0.5883 P
0.2941 0.7059 0.0000 P
0.7059 0.2941 0.0000 P
0.7059 0.7059 0.4118 P
```

Output
For the theoretical density, the calculation gives 4.22 g cm⁻³. The calculation puts the energy above the most stable polymorph in this dataset at 145 meV/atom. The electronic total energy comes out at -6.814 eV/atom.

=====

## YP5 (PBE)

Data for an optimized crystal structure of YP5.

Geometry as POSCAR:
```
YP5
1.0
5.9508 0.0000 0.0000
-2.9754 5.1536 0.0000
0.0000 0.0000 3.3747
Y P
1 5
Direct
0.0000 0.0000 0.0000 Y
0.0000 0.5998 0.5000 P
0.3333 0.6667 0.0000 P
0.4002 0.4002 0.5000 P
0.5998 0.0000 0.5000 P
0.6667 0.3333 0.0000 P
```

Output
For the theoretical density, the calculation gives 3.91 g cm⁻³. The calculation puts the energy above the most stable polymorph in this dataset at 507 meV/atom. The electronic total energy comes out at -5.619 eV/atom.

=====

## YP5 (PBE)

Data for an optimized crystal structure of YP5.

Geometry as POSCAR:
```
YP5
1.0
0.0000 3.7160 3.7160
3.7160 0.0000 3.7160
3.7160 3.7160 0.0000
Y P
1 5
Direct
0.0000 0.0000 0.0000 Y
0.3887 0.3887 0.3887 P
0.3887 0.3887 0.8340 P
0.3887 0.8340 0.3887 P
0.7500 0.7500 0.7500 P
0.8340 0.3887 0.3887 P
```

Output
For the theoretical density, the calculation gives 3.94 g cm⁻³. The calculation puts the energy above the most stable polymorph in this dataset at 612 meV/atom. The electronic total energy comes out at -5.515 eV/atom.

=====

## Y2P (PBE)

Data for an optimized crystal structure of Y2P.

Geometry as POSCAR:
```
Y2P
1.0
6.8051 0.0000 0.0000
0.0000 6.8051 0.0000
0.0000 0.0000 6.8051
Y P
8 4
Direct
0.1540 0.1540 0.1540 Y
0.1540 0.3460 0.6540 Y
0.3460 0.6540 0.1540 Y
0.3460 0.8460 0.6540 Y
0.6540 0.1540 0.3460 Y
0.6540 0.3460 0.8460 Y
0.8460 0.6540 0.3460 Y
0.8460 0.8460 0.8460 Y
0.0000 0.0000 0.5000 P
0.0000 0.5000 0.0000 P
0.5000 0.0000 0.0000 P
0.5000 0.5000 0.5000 P
```

Output
For the theoretical density, the calculation gives 4.40 g cm⁻³. The electronic total energy comes out at -6.986 eV/atom.

=====

## YP3 (PBE)

Data for an optimized crystal structure of YP3.

Geometry as POSCAR:
```
YP3
1.0
3.6861 0.0000 0.0000
0.0000 3.6861 0.0000
0.0000 0.0000 5.3106
Y P
1 3
Direct
0.0000 0.0000 0.0000 Y
0.0000 0.0000 0.5000 P
0.5000 0.5000 0.2894 P
0.5000 0.5000 0.7106 P
```

Output
For the theoretical density, the calculation gives 4.18 g cm⁻³. The electronic total energy comes out at -6.029 eV/atom.

=====

## YP2 (PBE)

Data for an optimized crystal structure of YP2.

Geometry as POSCAR:
```
YP2
1.0
4.6431 -1.9255 0.0000
4.6431 1.9255 0.0000
-3.1304 0.0000 7.3695
Y P
2 4
Direct
0.1966 0.1966 0.2021 Y
0.8034 0.8034 0.7979 Y
0.1224 0.1224 0.5283 P
0.4576 0.4576 0.1090 P
0.5424 0.5424 0.8910 P
0.8776 0.8776 0.4717 P
```

Output
For the theoretical density, the calculation gives 3.80 g cm⁻³. The electronic total energy comes out at -6.538 eV/atom.

=====

## Y4P5 (PBE)

Data for an optimized crystal structure of Y4P5.

Geometry as POSCAR:
```
Y4P5
1.0
8.5362 0.0000 0.0000
-4.2681 7.3925 0.0000
0.0000 0.0000 5.8836
Y P
8 10
Direct
0.0000 0.0000 0.0000 Y
0.0000 0.0000 0.5000 Y
0.0000 0.3858 0.2500 Y
0.0000 0.6142 0.7500 Y
0.3858 0.0000 0.2500 Y
0.3858 0.3858 0.7500 Y
0.6142 0.0000 0.7500 Y
0.6142 0.6142 0.2500 Y
0.0000 0.2734 0.7500 P
0.0000 0.7266 0.2500 P
0.2734 0.0000 0.7500 P
0.2734 0.2734 0.2500 P
0.3333 0.6667 0.0000 P
0.3333 0.6667 0.5000 P
0.6667 0.3333 0.0000 P
0.6667 0.3333 0.5000 P
0.7266 0.0000 0.2500 P
0.7266 0.7266 0.7500 P
```

Output
For the theoretical density, the calculation gives 4.57 g cm⁻³. The calculation puts the energy above the most stable polymorph in this dataset at 0 meV/atom. The electronic total energy comes out at -6.959 eV/atom.

=====

## YP3 (PBE)

Data for an optimized crystal structure of YP3.

Geometry as POSCAR:
```
YP3
1.0
0.0000 3.3413 3.3413
3.3413 0.0000 3.3413
3.3413 3.3413 0.0000
Y P
1 3
Direct
0.0000 0.0000 0.0000 Y
0.2500 0.2500 0.2500 P
0.5000 0.5000 0.5000 P
0.7500 0.7500 0.7500 P
```

Output
For the theoretical density, the calculation gives 4.05 g cm⁻³. The electronic total energy comes out at -5.669 eV/atom.

=====

## Y5P (PBE)

Data for an optimized crystal structure of Y5P.

Geometry as POSCAR:
```
Y5P
1.0
5.1837 0.0000 0.0000
0.0000 1.9038 8.5312
0.0000 -1.9038 8.5312
Y P
5 1
Direct
0.0000 0.0000 0.0000 Y
0.0000 0.3087 0.3087 Y
0.5000 0.1809 0.1809 Y
0.5000 0.5341 0.5341 Y
0.5000 0.8665 0.8665 Y
0.0000 0.6362 0.6362 P
```

Output
For the theoretical density, the calculation gives 4.69 g cm⁻³. The calculation puts the energy above the most stable polymorph in this dataset at 204 meV/atom. The electronic total energy comes out at -6.489 eV/atom.

=====

## YP2 (PBE)

Data for an optimized crystal structure of YP2.

Geometry as POSCAR:
```
YP2
1.0
4.9756 0.0000 0.0000
-2.4878 4.3090 0.0000
0.0000 0.0000 5.4380
Y P
2 4
Direct
0.3333 0.6667 0.2500 Y
0.6667 0.3333 0.7500 Y
0.0000 0.0000 0.0000 P
0.0000 0.0000 0.5000 P
0.3333 0.6667 0.7500 P
0.6667 0.3333 0.2500 P
```

Output
For the theoretical density, the calculation gives 4.30 g cm⁻³. The electronic total energy comes out at -6.294 eV/atom.